VASP calculation (PBE) on crystalline Tl2AgAu at its relaxed geometry.

a b c (Å): 4.5101 4.5101 19.7461
angles (deg): 90.00 90.00 90.00
Space group I-42d (No. 122)
One atom of each set of equivalent atoms:
Tl  0.2484  0.2500  0.1250 [8 per cell]
Ag  0.0000  0.0000  0.0000 [4 per cell]
Au  0.0000  0.0000  0.5000 [4 per cell]

Energy above the lowest structure with this stoichiometry: 142 meV/atom
Total moment: 0.00 μB/atom
Energy relative to the elements: 172 meV/atom
Mass density: 11.8 Mg/m³



VASP calculation (PBE) on crystalline CoHgSb2 at its relaxed geometry.

a b c (Å): 3.1518 4.6229 12.1431
angles (deg): 90.00 90.00 90.00
Space group Immm (No. 71)
One atom of each set of equivalent atoms:
Co  0.0000  0.0000  0.0000 [2 per cell]
Hg  0.0000  0.0000  0.5000 [2 per cell]
Sb  0.0000  0.5000  0.3283 [4 per cell]

Total moment: 0.00 μB/atom
Mass density: 9.4 Mg/m³
Formation energy (no corrections): 0.151 eV/atom



VASP calculation (PBE) on crystalline Tl13Bi2 at its relaxed geometry.

a b c (Å): 5.9042 8.6782 9.6225
angles (deg): 106.20 95.27 94.26
Space group P-1 (No. 2)
One atom of each set of equivalent atoms:
Tl  0.0000  0.0000  0.0000 [1 per cell]
Tl  0.1308  0.2649  0.7983 [2 per cell]
Tl  0.2038  0.3958  0.2037 [2 per cell]
Tl  0.2625  0.5333  0.6005 [2 per cell]
Tl  0.3323  0.6615  0.9986 [2 per cell]
Tl  0.4005  0.7960  0.3973 [2 per cell]
Tl  0.4694  0.9378  0.8016 [2 per cell]
Bi  0.0647  0.1320  0.4061 [2 per cell]

Energy above the lowest structure with this stoichiometry: 0 meV/atom
Total moment: 0.00 μB/atom
Energy relative to the elements: -5 meV/atom
Mass density: 10.9 Mg/m³



VASP calculation (PBE) on crystalline Sm2ErCu9 at its relaxed geometry.

a b c (Å): 5.1606 5.1606 25.3044
angles (deg): 90.00 90.00 120.00
Space group R-3m (No. 166, hexagonal axes)
One atom of each set of equivalent atoms:
Sm  0.0000  0.0000  0.1402 [6 per cell]
Er  0.0000  0.0000  0.0000 [3 per cell]
Cu  0.0000  0.0000  0.3322 [6 per cell]
Cu  0.0000  0.0000  0.5000 [3 per cell]
Cu  0.0016  0.5008  0.0803 [18 per cell]

Total moment: 0.00 μB/atom
Energy relative to the elements: -170 meV/atom
Mass density: 8.9 Mg/m³